1.
{
  "formula": "Ba2Os2C",
  "functional": "PBE-GGA",
  "state": "optimized geometry",
  "lattice": [[-3.380, -0.506, -0.963], [1.008, -2.637, -2.154], [-2.284, -7.818, 5.576]],
  "species": ["C", "Os", "Os", "Ba", "Ba"],
  "fractional_positions": [[0.000, 0.000, 0.000], [0.250, 0.750, 0.500], [0.750, 0.250, 0.500], [0.410, 0.410, 0.181], [0.590, 0.590, 0.819]],
  "formation_enthalpy_0k_ev_per_atom": 1.01,
  "dft_energy_ev_per_atom": -6.098,
  "de_polymorph_kj_per_mol_atoms": 0.0
}

2.
{
  "formula": "BaOsPtC2",
  "functional": "PBE-GGA",
  "state": "optimized geometry",
  "lattice": [[-3.998, 0.171, 0.736], [-0.251, -5.464, -0.093], [0.733, -0.102, 4.001]],
  "species": ["Os", "C", "C", "Ba", "Pt"],
  "fractional_positions": [[0.000, 0.000, 0.000], [0.500, 0.000, 0.000], [0.000, 0.000, 0.500], [0.500, 0.500, 0.500], [0.000, 0.500, 0.000]],
  "formation_enthalpy_0k_ev_per_atom": 0.74,
  "dft_energy_ev_per_atom": -6.785
}